A plane-wave DFT calculation with PBE+U was carried out for an optimized crystal structure of NaMnIO2.

- final energy (eV for the cell shown) = -19.1
- spin magnetization (μB per formula unit) = 3.00

Cell and atoms, written as CIF:
```
data_NaMnIO2
_cell_length_a 4.3051
_cell_length_b 4.3051
_cell_length_c 5.7217
_cell_angle_alpha 90.00
_cell_angle_beta 90.00
_cell_angle_gamma 90.00
_symmetry_space_group_name_H-M 'P 4/m m m'
_symmetry_Int_Tables_number 123
_symmetry_space_group_name_Hall '-P 4 2'
loop_
_atom_site_label
_atom_site_type_symbol
_atom_site_fract_x
_atom_site_fract_y
_atom_site_fract_z
Na1 Na 0.0000 0.0000 0.0000
Mn1 Mn 0.5000 0.5000 0.5000
I1 I 0.0000 0.0000 0.5000
O1 O 0.0000 0.5000 0.0000
```

---

A plane-wave DFT calculation with PBE+U was carried out for an optimized crystal structure of NaMn2IO6.

- final energy (eV for the cell shown) = -177.1
- spin magnetization (μB per formula unit) = 8.00

Cell and atoms, written as CIF:
```
data_NaMn2IO6
_cell_length_a 5.4515
_cell_length_b 5.4515
_cell_length_c 14.6064
_cell_angle_alpha 90.00
_cell_angle_beta 90.00
_cell_angle_gamma 120.00
_symmetry_space_group_name_H-M 'R 3'
_symmetry_Int_Tables_number 146
_symmetry_space_group_name_Hall 'R 3'
loop_
_atom_site_label
_atom_site_type_symbol
_atom_site_fract_x
_atom_site_fract_y
_atom_site_fract_z
Na1 Na 0.0000 0.0000 0.0000
Mn1 Mn 0.0000 0.0000 0.2627
Mn2 Mn 0.0000 0.0000 0.7897
I1 I 0.0000 0.0000 0.4695
O1 O 0.0222 0.3944 0.5298
O2 O 0.0260 0.5988 0.0499
```